# LuMnZnAg (PBE, relaxed)
data_LuMnZnAg
_cell_length_a 6.693
_cell_length_b 6.693
_cell_length_c 6.693
_cell_angle_alpha 90.00
_cell_angle_beta 90.00
_cell_angle_gamma 90.00
_symmetry_space_group_name_H-M 'F -4 3 m'
_symmetry_Int_Tables_number 216
_symmetry_space_group_name_Hall 'F -4 2 3'
loop_
_atom_site_label
_atom_site_type_symbol
_atom_site_fract_x
_atom_site_fract_y
_atom_site_fract_z
Lu1 Lu 0.000 0.000 0.000
Mn1 Mn 0.000 0.000 0.500
Zn1 Zn 0.250 0.250 0.250
Ag1 Ag 0.250 0.250 0.750
# - Electronic total energy: -4.494 eV per atom
# - Total magnetic moment: 16.29 μB per cell